Entry 1:
Li2AgPdAu5 (PBE, optimized geometry); total moment = 0.00 μB per atom; crystal system = tetragonal
1.0
-3.0777 3.0777 7.8499
3.0777 -3.0777 7.8499
3.0777 3.0777 -7.8499
Li Ag Pd Au
4 2 2 10
Cartesian
3.8031 0.7254 0.0000
0.7254 2.3523 0.0000
2.3523 0.7254 7.8499
-0.7254 2.3523 7.8499
3.0777 0.0000 3.9249
0.0000 3.0777 3.9249
0.0000 0.0000 3.9249
0.0000 0.0000 11.7748
0.0000 0.0000 0.0000
1.6747 1.4030 -2.0319
1.6747 -1.4030 5.8179
1.6747 1.4030 2.0319
1.6747 -1.4030 9.8818
0.0000 0.0000 7.8499
1.4030 4.4807 -2.0319
1.4030 1.6747 5.8179
1.4030 4.4807 2.0319
1.4030 1.6747 9.8818

Entry 2:
Li2AgPd2Au2 (PBE, optimized geometry); total moment = 0.00 μB per atom; crystal system = monoclinic
1.0
4.3698 -2.0232 0.0000
4.3698 2.0232 0.0000
-1.1356 0.0000 6.3040
Li Ag Pd Au
2 1 2 2
Cartesian
1.6332 0.0000 1.0322
5.9709 0.0000 5.2718
4.3698 0.0000 0.0000
2.5006 0.0000 3.5975
5.1035 0.0000 2.7065
-0.0990 0.0000 4.5723
7.7031 0.0000 1.7316

| no. | raw total energy (eV/atom) | formation energy (eV per atom) |
| --- | --- | --- |
| 1 | -3.26 | -0.12 |
| 2 | -3.71 | -0.33 |